--- P ---
A relaxed structure of RbBe2W, computed with PBE-GGA.

abc: 6.654 6.654 6.654
angles: 90.00 90.00 90.00
Fractional positions:
Rb1 0.000 0.000 0.000
Rb2 0.000 0.500 0.500
Rb3 0.500 0.000 0.500
Rb4 0.500 0.500 0.000
Be1 0.250 0.250 0.250
Be2 0.250 0.250 0.750
Be3 0.250 0.750 0.250
Be4 0.250 0.750 0.750
Be5 0.750 0.250 0.250
Be6 0.750 0.250 0.750
Be7 0.750 0.750 0.250
Be8 0.750 0.750 0.750
W1 0.000 0.000 0.500
W2 0.000 0.500 0.000
W3 0.500 0.000 0.000
W4 0.500 0.500 0.500

Computed properties:
* crystal system: cubic
* space group: Fm-3m, No. 225
* V: 18.4 Å³ per atom

***

--- Q ---
A relaxed structure of RbBe2W, computed with PBE-GGA.

abc: 4.981 4.981 16.333
angles: 90.00 90.00 90.00
Fractional positions:
Rb1 0.000 0.250 0.375
Rb2 0.000 0.750 0.625
Rb3 0.500 0.250 0.125
Rb4 0.500 0.750 0.875
Be1 0.000 0.000 0.000
Be2 0.000 0.500 0.000
Be3 0.250 0.250 0.750
Be4 0.250 0.750 0.250
Be5 0.500 0.000 0.500
Be6 0.500 0.500 0.500
Be7 0.750 0.250 0.750
Be8 0.750 0.750 0.250
W1 0.000 0.250 0.875
W2 0.000 0.750 0.125
W3 0.500 0.250 0.625
W4 0.500 0.750 0.375

Computed properties:
* crystal system: tetragonal
* space group: I4_1/amd, No. 141
* V: 25.3 Å³ per atom

***

Name the most stable of them. Q.